# GGA-PBE Y3AlCo, relaxed
# Energy above the most stable polymorph in this dataset = 189 meV/atom
# Volume = 26.9 Å³/atom
# Spin magnetization = 0.00 μB/cell
# Energy relative to the elements = -0.2 eV/f.u.
# Total DFT energy (no corrections) = -6.09 eV per atom
data_Y3AlCo
_cell_length_a 5.123
_cell_length_b 5.123
_cell_length_c 5.123
_cell_angle_alpha 90.00
_cell_angle_beta 90.00
_cell_angle_gamma 90.00
_symmetry_space_group_name_H-M 'P 1'
_symmetry_Int_Tables_number 1
loop_
_symmetry_equiv_pos_as_xyz
'x,y,z'
loop_
_atom_site_label
_atom_site_fract_x
_atom_site_fract_y
_atom_site_fract_z
Y1 0.000 0.500 0.000
Y2 0.000 0.000 0.500
Y3 0.500 0.000 0.000
Co1 0.000 0.000 0.000
Al1 0.500 0.500 0.500


# GGA-PBE YAlCo4, relaxed
# Energy above the most stable polymorph in this dataset = 0 meV/atom
# Volume = 14.3 Å³/atom
# Spin magnetization = 4.42 μB/cell
# Energy relative to the elements = -1.5 eV/f.u.
# Total DFT energy (no corrections) = -6.69 eV per atom
data_YAlCo4
_cell_length_a 5.048
_cell_length_b 5.048
_cell_length_c 3.887
_cell_angle_alpha 90.00
_cell_angle_beta 90.00
_cell_angle_gamma 120.00
_symmetry_space_group_name_H-M 'P 1'
_symmetry_Int_Tables_number 1
loop_
_symmetry_equiv_pos_as_xyz
'x,y,z'
loop_
_atom_site_label
_atom_site_fract_x
_atom_site_fract_y
_atom_site_fract_z
Y1 0.667 0.333 0.000
Al1 0.000 0.000 0.000
Co1 0.333 0.667 0.000
Co2 0.660 0.830 0.500
Co3 0.170 0.830 0.500
Co4 0.170 0.340 0.500


# GGA-PBE Y2Al14Co3, relaxed
# Volume = 15.9 Å³/atom
# Spin magnetization = 0.00 μB/cell
# Energy relative to the elements = -8.5 eV/f.u.
# Total DFT energy (no corrections) = -5.01 eV per atom
data_Y2Al14Co3
_cell_length_a 8.882
_cell_length_b 8.882
_cell_length_c 8.818
_cell_angle_alpha 90.00
_cell_angle_beta 90.00
_cell_angle_gamma 120.00
_symmetry_space_group_name_H-M 'P 1'
_symmetry_Int_Tables_number 1
loop_
_symmetry_equiv_pos_as_xyz
'x,y,z'
loop_
_atom_site_label
_atom_site_fract_x
_atom_site_fract_y
_atom_site_fract_z
Al1 0.667 0.333 0.096
Al2 0.333 0.667 0.596
Al3 0.333 0.667 0.904
Al4 0.667 0.333 0.404
Al5 0.966 0.628 0.250
Al6 0.372 0.338 0.250
Al7 0.662 0.034 0.250
Al8 0.034 0.372 0.750
Al9 0.628 0.662 0.750
Al10 0.338 0.966 0.750
Al11 0.338 0.372 0.750
Al12 0.034 0.662 0.750
Al13 0.628 0.966 0.750
Al14 0.662 0.628 0.250
Al15 0.966 0.338 0.250
Al16 0.372 0.034 0.250
Al17 0.343 0.171 0.978
Al18 0.829 0.171 0.978
Al19 0.829 0.657 0.978
Al20 0.657 0.829 0.478
Al21 0.171 0.829 0.478
Al22 0.171 0.343 0.478
Al23 0.171 0.829 0.022
Al24 0.657 0.829 0.022
Al25 0.171 0.343 0.022
Al26 0.829 0.171 0.522
Al27 0.343 0.171 0.522
Al28 0.829 0.657 0.522
Co1 0.000 0.500 0.000
Co2 0.500 0.500 0.000
Co3 0.500 0.000 0.000
Co4 0.000 0.500 0.500
Co5 0.500 0.500 0.500
Co6 0.500 0.000 0.500
Y1 0.000 0.000 0.250
Y2 0.000 0.000 0.750
Y3 0.667 0.333 0.750
Y4 0.333 0.667 0.250


# GGA-PBE Y2Al9Co3, relaxed
# Energy above the most stable polymorph in this dataset = 2 meV/atom
# Volume = 15.8 Å³/atom
# Spin magnetization = 0.00 μB/cell
# Energy relative to the elements = -7.9 eV/f.u.
# Total DFT energy (no corrections) = -5.42 eV per atom
data_Y2Al9Co3
_cell_length_a 7.417
_cell_length_b 7.417
_cell_length_c 10.274
_cell_angle_alpha 89.91
_cell_angle_beta 110.98
_cell_angle_gamma 120.42
_symmetry_space_group_name_H-M 'P 1'
_symmetry_Int_Tables_number 1
loop_
_symmetry_equiv_pos_as_xyz
'x,y,z'
loop_
_atom_site_label
_atom_site_fract_x
_atom_site_fract_y
_atom_site_fract_z
Y1 0.337 0.247 0.750
Y2 0.663 0.753 0.250
Y3 0.997 0.587 0.750
Y4 0.003 0.413 0.250
Al1 0.455 0.919 0.748
Al2 0.545 0.081 0.252
Al3 0.671 0.707 0.752
Al4 0.329 0.293 0.248
Al5 0.450 0.641 0.930
Al6 0.550 0.359 0.070
Al7 0.211 0.521 0.570
Al8 0.789 0.479 0.430
Al9 0.885 0.135 0.750
Al10 0.115 0.865 0.250
Al11 0.138 0.987 0.954
Al12 0.862 0.013 0.046
Al13 0.533 0.184 0.546
Al14 0.467 0.816 0.454
Al15 0.878 0.857 0.568
Al16 0.122 0.143 0.432
Al17 0.789 0.311 0.932
Al18 0.211 0.689 0.068
Co1 0.500 0.000 0.000
Co2 0.500 0.500 0.500
Co3 0.841 0.171 0.499
Co4 0.159 0.829 0.501
Co5 0.172 0.342 0.001
Co6 0.828 0.658 0.999